10
Lattice="8.4640 -1.8447 -0.8344 -4.0900 7.6363 0.8344 -3.3249 -2.0365 5.4352" Properties=species:S:1:pos:R:3 comment="PrTm3Hg (PBE, optimized geometry)" delta_e_f_ev_per_fu=-0.52 m_tot_mub_per_cell=0.00 pbc="T T T"
Tm 4.7507 -1.3063 1.2038
Tm 2.5829 0.3309 3.3971
Tm -3.7017 5.0615 4.2314
Tm -1.5338 3.4242 2.0382
Tm 3.5890 1.8370 0.4589
Tm -2.5399 1.9182 4.9763
Pr -2.7646 6.6353 1.2834
Pr 3.8137 -2.8802 4.1519
Hg -0.6067 0.4582 2.9081
Hg 1.6558 3.2970 2.5271

5
Lattice="4.3757 0.0000 0.0000 0.0000 4.3757 0.0000 0.0000 0.0000 4.3757" Properties=species:S:1:pos:R:3 comment="TlVFe3 (PBE, optimized geometry)" polymorph_energy_mev_per_atom=0.0 delta_e_f_ev_per_fu=5.15 m_tot_mub_per_cell=4.67 pbc="T T T"
Tl 2.1879 2.1879 2.1879
Fe 0.0000 0.0000 2.1879
Fe 2.1879 0.0000 0.0000
Fe 0.0000 2.1879 0.0000
V 0.0000 0.0000 0.0000

12
Lattice="-4.1354 1.1732 0.2157 -1.0766 -3.3358 -2.4976 -3.9488 -7.5141 8.0356" Properties=species:S:1:pos:R:3 comment="K2BaBi2O7 (PBE, optimized geometry)" raw_formation_energy_ev_per_fu=-17.05 m_tot_mub_per_cell=0.00 pbc="T T T"
K -5.7309 -4.6453 1.2590
K -3.4298 -5.0313 4.4947
Bi -2.8739 -2.3611 0.6839
Bi -6.2868 -7.3156 5.0698
O -6.0431 -6.1525 3.4117
O -3.1176 -3.5242 2.3420
O -4.2567 -8.0822 5.2191
O -4.9040 -1.5944 0.5346
O -5.7860 -5.8279 6.5757
O -2.6060 -1.0813 -1.1409
O -3.3747 -3.8488 -0.8219
Ba 0.0000 0.0000 0.0000

no.,DOS at the Fermi energy (states/eV/cell)
1,12.12
2,4.10
3,6.76